[1]
A geometry-optimized K12Rb5Au3 structure, computed with PBE-GGA.

Unit cell a=20.0559 b=20.0559 c=20.0559 alpha=109.47 beta=109.47 gamma=109.47
With the nearest neighbours (Å) after each atom.
Element x y z (fractional)
Rb 0.0000 0.5000 0.5000  6 K 4.23
K 0.6000 0.3440 0.9681  1 Au 3.24
K 0.6320 0.5319 0.8760  1 Au 3.24
K 0.6560 0.2560 0.6240  1 Au 3.24
K 0.4681 0.1000 0.3440  1 Au 3.24
K 0.6000 0.2560 0.1320  1 Au 3.24
Au 0.8750 0.7500 0.1250  4 K 3.24
K 0.1560 0.1240 0.7560  1 Au 3.24
Au 0.6250 0.3750 0.7500  4 K 3.24
Rb 0.5000 0.0000 0.0000  6 K 4.23
K 0.8440 0.9681 0.1000  1 Au 3.24
Rb 0.5000 0.5000 0.5000  6 K 4.23
Rb 0.0000 0.0000 0.0000  6 K 4.23
K 0.2560 0.6000 0.6320  1 Au 3.24
K 0.2440 0.3760 0.8440  1 Au 3.24
K 0.4000 0.6560 0.0319  1 Au 3.24
Rb 0.5000 0.5000 0.0000  6 K 4.23
K 0.8680 0.2440 0.4000  1 Au 3.24
Au 0.2500 0.6250 0.8750  4 K 3.24
K 0.9000 0.5319 0.1560  1 Au 3.24
Au 0.8750 0.1250 0.2500  4 K 3.24
Au 0.1250 0.8750 0.7500  4 K 3.24
K 0.3680 0.9000 0.7440  1 Au 3.24
K 0.0319 0.8760 0.1320  1 Au 3.24
K 0.3680 0.4681 0.1240  1 Au 3.24
K 0.1320 0.3760 0.0319  1 Au 3.24
K 0.6240 0.8680 0.4681  1 Au 3.24
K 0.9681 0.8440 0.6000  1 Au 3.24
K 0.2440 0.8680 0.9000  1 Au 3.24
Au 0.3750 0.6250 0.2500  4 K 3.24
Rb 0.1250 0.7500 0.3750  4 K 4.43
K 0.8440 0.8760 0.2440  1 Au 3.24
Au 0.7500 0.3750 0.1250  4 K 3.24
K 0.7440 0.4000 0.3680  1 Au 3.24
K 0.6560 0.4000 0.5319  1 Au 3.24
Au 0.1250 0.2500 0.8750  4 K 3.24
K 0.1000 0.4681 0.8440  1 Au 3.24
K 0.6240 0.7560 0.6560  1 Au 3.24
K 0.3440 0.7440 0.3760  1 Au 3.24
Rb 0.2500 0.8750 0.1250  4 K 4.43
Au 0.2500 0.1250 0.3750  4 K 3.24
Rb 0.3750 0.2500 0.1250  4 K 4.43
K 0.1560 0.0319 0.9000  1 Au 3.24
K 0.1320 0.7560 0.6000  1 Au 3.24
K 0.4681 0.3680 0.6240  1 Au 3.24
Rb 0.7500 0.6250 0.3750  4 K 4.43
Rb 0.3750 0.1250 0.7500  4 K 4.43
K 0.5319 0.6320 0.3760  1 Au 3.24
K 0.3440 0.6000 0.4681  1 Au 3.24
Rb 0.7500 0.1250 0.8750  4 K 4.43
Rb 0.8750 0.2500 0.6250  4 K 4.43
K 0.1240 0.1560 0.2560  1 Au 3.24
Au 0.6250 0.2500 0.3750  4 K 3.24
K 0.8680 0.6240 0.9681  1 Au 3.24
Au 0.3750 0.7500 0.6250  4 K 3.24
K 0.3760 0.2440 0.3440  1 Au 3.24
Rb 0.6250 0.8750 0.2500  4 K 4.43
K 0.8760 0.0319 0.6320  1 Au 3.24
Rb 0.1250 0.3750 0.2500  4 K 4.43
Rb 0.5000 0.0000 0.5000  6 K 4.23
K 0.7560 0.1320 0.1000  1 Au 3.24
K 0.6320 0.1000 0.2560  1 Au 3.24
Au 0.7500 0.8750 0.6250  4 K 3.24
Rb 0.0000 0.5000 0.0000  6 K 4.23
Rb 0.8750 0.6250 0.7500  4 K 4.43
K 0.9681 0.1240 0.8680  1 Au 3.24
K 0.1240 0.9681 0.3680  1 Au 3.24
K 0.9000 0.3680 0.2440  1 Au 3.24
K 0.0319 0.1560 0.4000  1 Au 3.24
K 0.2560 0.6560 0.1240  1 Au 3.24
K 0.1000 0.6320 0.7560  1 Au 3.24
Rb 0.2500 0.3750 0.6250  4 K 4.43
K 0.3760 0.1320 0.5319  1 Au 3.24
Rb 0.6250 0.7500 0.8750  4 K 4.43
K 0.7560 0.6240 0.1560  1 Au 3.24
K 0.8760 0.8440 0.7440  1 Au 3.24
K 0.7440 0.3440 0.8760  1 Au 3.24
K 0.5319 0.9000 0.6560  1 Au 3.24
K 0.4000 0.7440 0.8680  1 Au 3.24
Rb 0.0000 0.0000 0.5000  6 K 4.23

- Crystal system: cubic
- Formation energy: 0.083 eV/atom
- Fermi-level density of states: 14.1 states/eV/f.u.

[2]
A geometry-optimized ErFe3I12 structure, computed with PBE-GGA.

Unit cell a=8.0659 b=15.3597 c=15.3597 alpha=120.00 beta=90.00 gamma=90.00
With the nearest neighbours (Å) after each atom.
Element x y z (fractional)
I 0.7500 0.2096 0.9635  1 Fe 2.49
I 0.9849 0.7604 0.2461  1 Fe 2.64
I 0.7500 0.4900 0.9827  1 Fe 2.49
I 0.4849 0.5144 0.7604  1 Fe 2.64
I 0.2500 0.5100 0.0173  1 Fe 2.49
I 0.7500 0.0365 0.2461  1 Fe 2.49
I 0.5151 0.4856 0.2396  1 Fe 2.64
I 0.0151 0.2396 0.7539  1 Fe 2.64
I 0.5151 0.7604 0.2461  1 Fe 2.64
Fe 0.7500 0.3040 0.8706  4 I 2.49-2.64
Er 0.7500 0.6667 0.3333  6 I 3.06
I 0.7500 0.7539 0.7904  1 Fe 2.49
Fe 0.7500 0.1294 0.4334  4 I 2.49-2.64
I 0.7500 0.0173 0.5074  1 Fe 2.49
Er 0.2500 0.3333 0.6667  6 I 3.06
Fe 0.7500 0.5666 0.6960  4 I 2.49-2.64
I 0.2500 0.2461 0.2096  1 Fe 2.49
I 0.0151 0.5144 0.7604  1 Fe 2.64
I 0.4849 0.2461 0.4856  1 Fe 2.64
Fe 0.2500 0.4334 0.3040  4 I 2.49-2.64
I 0.4849 0.2396 0.7539  1 Fe 2.64
I 0.7500 0.4926 0.5100  1 Fe 2.49
Fe 0.2500 0.6960 0.1294  4 I 2.49-2.64
I 0.2500 0.9827 0.4926  1 Fe 2.49
I 0.0151 0.2461 0.4856  1 Fe 2.64
I 0.9849 0.7539 0.5144  1 Fe 2.64
Fe 0.2500 0.8706 0.5666  4 I 2.49-2.64
I 0.5151 0.7539 0.5144  1 Fe 2.64
I 0.2500 0.7904 0.0365  1 Fe 2.49
I 0.2500 0.5074 0.4900  1 Fe 2.49
I 0.9849 0.4856 0.2396  1 Fe 2.64
I 0.2500 0.9635 0.7539  1 Fe 2.49

- Crystal system: hexagonal
- Uncorrected formation energy: -0.385 eV/atom

[3]
A geometry-optimized Sc3FeSb structure, computed with PBE-GGA.

Unit cell a=4.7882 b=4.7882 c=4.7882 alpha=90.00 beta=90.00 gamma=90.00
With the nearest neighbours (Å) after each atom.
Element x y z (fractional)
Fe 0.0000 0.0000 0.0000  6 Sc 2.39
Sc 0.0000 0.5000 0.0000  2 Fe 2.39
Sc 0.5000 0.0000 0.0000  2 Fe 2.39
Sb 0.5000 0.5000 0.5000  12 Sc 3.39
Sc 0.0000 0.0000 0.5000  2 Fe 2.39

- Crystal system: cubic
- Fermi-level density of states: 7.2 states/eV/f.u.
- Uncorrected formation energy: -0.234 eV/atom

[4]
A geometry-optimized GaBRu2 structure, computed with PBE-GGA.

Unit cell a=4.0844 b=4.0844 c=4.0844 alpha=60.00 beta=60.00 gamma=60.00
With the nearest neighbours (Å) after each atom.
Element x y z (fractional)
B 0.0000 0.0000 0.0000  8 Ru 2.50
Ru 0.2500 0.2500 0.2500  4 B 2.50, 4 Ga 2.50
Ga 0.5000 0.5000 0.5000  8 Ru 2.50
Ru 0.7500 0.7500 0.7500  4 Ga 2.50, 4 B 2.50

- Crystal system: cubic
- Formation energy: 0.132 eV/atom
- Fermi-level density of states: 3.1 states/eV/f.u.
- E above lowest polymorph: 0.453 eV/atom

Asked for electronic total energy across the records above, the calculation gives -1.309, -3.420, -6.550, -6.932 eV per atom in order.
Asked for theoretical density across the records above, the calculation gives 1.6, 3.7, 4.7, 9.7 g/cm3 in order.